# 1
DFT (PBE-GGA) results for a geometry-optimized Tm2Ga3Ni4Sn structure.

Calculated values
energy relative to the elements: -527.9 meV/atom

CIF file:
```
data_Tm2Ga3Ni4Sn
_chemical_formula_sum 'Tm2 Ga3 Ni4 Sn1'
_cell_length_a 4.0535
_cell_length_b 4.0535
_cell_length_c 10.2433
_cell_angle_alpha 90.00
_cell_angle_beta 90.00
_cell_angle_gamma 90.00
_space_group_name_H-M_alt 'P 1'
_space_group_IT_number 1
loop_
_space_group_symop_operation_xyz
'x,y,z'
loop_
_atom_site_label
_atom_site_fract_x
_atom_site_fract_y
_atom_site_fract_z
Tm1 0.0000 0.5000 0.2400
Tm2 0.5000 0.0000 0.7600
Ga1 0.0000 0.5000 0.8764
Ga2 0.5000 0.0000 0.1236
Ga3 0.5000 0.5000 0.5000
Ni1 0.0000 0.0000 0.0000
Ni2 0.0000 0.5000 0.6490
Ni3 0.5000 0.0000 0.3510
Ni4 0.5000 0.5000 0.0000
Sn1 0.0000 0.0000 0.5000
```

=====

# 2
DFT (PBE-GGA) results for a geometry-optimized KRbNa2Bi structure.

Calculated values
energy above the most stable polymorph in this dataset: 0.21 eV/f.u.
energy relative to the elements: -133.5 meV/atom

CIF file:
```
data_KRbNa2Bi
_chemical_formula_sum 'K1 Rb1 Na2 Bi1'
_cell_length_a 6.2091
_cell_length_b 6.2091
_cell_length_c 7.2134
_cell_angle_alpha 90.00
_cell_angle_beta 90.00
_cell_angle_gamma 90.00
_space_group_name_H-M_alt 'P 1'
_space_group_IT_number 1
loop_
_space_group_symop_operation_xyz
'x,y,z'
loop_
_atom_site_label
_atom_site_fract_x
_atom_site_fract_y
_atom_site_fract_z
K1 0.0000 0.0000 0.0000
Rb1 0.5000 0.5000 0.0000
Na1 0.0000 0.5000 0.5000
Na2 0.5000 0.0000 0.5000
Bi1 0.5000 0.5000 0.5000
```

=====

# 3
DFT (PBE-GGA) results for a geometry-optimized BeSn2Pb2 structure.

Calculated values
energy above the most stable polymorph in this dataset: 1.69 eV/f.u.
energy relative to the elements: 584.1 meV/atom

CIF file:
```
data_BeSn2Pb2
_chemical_formula_sum 'Be2 Sn4 Pb4'
_cell_length_a 4.0895
_cell_length_b 4.0895
_cell_length_c 17.5209
_cell_angle_alpha 90.00
_cell_angle_beta 90.00
_cell_angle_gamma 90.00
_space_group_name_H-M_alt 'P 1'
_space_group_IT_number 1
loop_
_space_group_symop_operation_xyz
'x,y,z'
loop_
_atom_site_label
_atom_site_fract_x
_atom_site_fract_y
_atom_site_fract_z
Be1 0.0000 0.0000 0.0000
Be2 0.5000 0.5000 0.5000
Sn1 0.0000 0.5000 0.2500
Sn2 0.0000 0.5000 0.7500
Sn3 0.5000 0.0000 0.2500
Sn4 0.5000 0.0000 0.7500
Pb1 0.0000 0.0000 0.4097
Pb2 0.0000 0.0000 0.5903
Pb3 0.5000 0.5000 0.0903
Pb4 0.5000 0.5000 0.9097
```

=====

# 4
DFT (PBE-GGA) results for a geometry-optimized TlAsRh2C structure.

Calculated values
energy relative to the elements: 2786.9 meV/atom

CIF file:
```
data_TlAsRh2C
_chemical_formula_sum 'Tl1 As1 Rh2 C1'
_cell_length_a 5.0610
_cell_length_b 5.0610
_cell_length_c 5.1002
_cell_angle_alpha 90.00
_cell_angle_beta 90.00
_cell_angle_gamma 90.00
_space_group_name_H-M_alt 'P 1'
_space_group_IT_number 1
loop_
_space_group_symop_operation_xyz
'x,y,z'
loop_
_atom_site_label
_atom_site_fract_x
_atom_site_fract_y
_atom_site_fract_z
Tl1 0.0000 0.0000 0.0000
As1 0.0000 0.0000 0.5000
Rh1 0.0000 0.5000 0.0000
Rh2 0.5000 0.0000 0.0000
C1 0.5000 0.5000 0.5000
```

=====

# 5
DFT (PBE-GGA) results for a geometry-optimized Pm2ZrGe3 structure.

Calculated values
energy relative to the elements: -681.3 meV/atom

CIF file:
```
data_Pm2ZrGe3
_chemical_formula_sum 'Pm4 Zr2 Ge6'
_cell_length_a 4.1443
_cell_length_b 5.8234
_cell_length_c 12.3028
_cell_angle_alpha 90.00
_cell_angle_beta 90.00
_cell_angle_gamma 90.00
_space_group_name_H-M_alt 'P 1'
_space_group_IT_number 1
loop_
_space_group_symop_operation_xyz
'x,y,z'
loop_
_atom_site_label
_atom_site_fract_x
_atom_site_fract_y
_atom_site_fract_z
Pm1 0.0000 0.0000 0.1713
Pm2 0.0000 0.0000 0.8287
Pm3 0.5000 0.5000 0.3287
Pm4 0.5000 0.5000 0.6713
Zr1 0.0000 0.0000 0.5000
Zr2 0.5000 0.5000 0.0000
Ge1 0.0000 0.5000 0.1496
Ge2 0.0000 0.5000 0.5000
Ge3 0.0000 0.5000 0.8504
Ge4 0.5000 0.0000 0.0000
Ge5 0.5000 0.0000 0.3504
Ge6 0.5000 0.0000 0.6496
```

=====

# 6
DFT (PBE-GGA) results for a geometry-optimized NpMnNiRu structure.

Calculated values
energy relative to the elements: 250.9 meV/atom

CIF file:
```
data_NpMnNiRu
_chemical_formula_sum 'Np4 Mn4 Ni4 Ru4'
_cell_length_a 6.2037
_cell_length_b 6.2037
_cell_length_c 6.2037
_cell_angle_alpha 90.00
_cell_angle_beta 90.00
_cell_angle_gamma 90.00
_space_group_name_H-M_alt 'P 1'
_space_group_IT_number 1
loop_
_space_group_symop_operation_xyz
'x,y,z'
loop_
_atom_site_label
_atom_site_fract_x
_atom_site_fract_y
_atom_site_fract_z
Np1 0.0000 0.0000 0.0000
Np2 0.0000 0.5000 0.5000
Np3 0.5000 0.0000 0.5000
Np4 0.5000 0.5000 0.0000
Mn1 0.2500 0.2500 0.2500
Mn2 0.2500 0.7500 0.7500
Mn3 0.7500 0.2500 0.7500
Mn4 0.7500 0.7500 0.2500
Ni1 0.0000 0.0000 0.5000
Ni2 0.0000 0.5000 0.0000
Ni3 0.5000 0.0000 0.0000
Ni4 0.5000 0.5000 0.5000
Ru1 0.2500 0.2500 0.7500
Ru2 0.2500 0.7500 0.2500
Ru3 0.7500 0.2500 0.2500
Ru4 0.7500 0.7500 0.7500
```

=====

# 7
DFT (PBE-GGA) results for a geometry-optimized CsPmPbBr6 structure.

Calculated values
raw formation energy: -1.51 eV per atom

CIF file:
```
data_CsPmPbBr6
_chemical_formula_sum 'Cs2 Pm2 Pb2 Br12'
_cell_length_a 10.7960
_cell_length_b 10.7960
_cell_length_c 10.7960
_cell_angle_alpha 121.79
_cell_angle_beta 119.05
_cell_angle_gamma 89.29
_space_group_name_H-M_alt 'P 1'
_space_group_IT_number 1
loop_
_space_group_symop_operation_xyz
'x,y,z'
loop_
_atom_site_label
_atom_site_fract_x
_atom_site_fract_y
_atom_site_fract_z
Cs1 0.3300 0.0800 0.2500
Cs2 0.6700 0.9200 0.7500
Pm1 0.0000 0.5000 0.5000
Pm2 0.5000 0.5000 0.0000
Pb1 0.0000 0.0000 0.5000
Pb2 0.0000 0.5000 0.0000
Br1 0.0876 0.4239 0.2626
Br2 0.0876 0.8250 0.6637
Br3 0.0953 0.8453 0.2500
Br4 0.3105 0.5605 0.7500
Br5 0.3388 0.1750 0.7626
Br6 0.3388 0.5761 0.1637
Br7 0.6612 0.4239 0.8363
Br8 0.6612 0.8250 0.2374
Br9 0.6895 0.4395 0.2500
Br10 0.9047 0.1547 0.7500
Br11 0.9124 0.1750 0.3363
Br12 0.9124 0.5761 0.7374
```

=====

# 8
DFT (PBE-GGA) results for a geometry-optimized RbN2Cl structure.

Calculated values
energy above the most stable polymorph in this dataset: 10.24 eV/f.u.
raw formation energy: 1.65 eV per atom

CIF file:
```
data_RbN2Cl
_chemical_formula_sum 'Rb4 N8 Cl4'
_cell_length_a 7.3514
_cell_length_b 7.3514
_cell_length_c 7.3514
_cell_angle_alpha 90.00
_cell_angle_beta 90.00
_cell_angle_gamma 90.00
_space_group_name_H-M_alt 'P 1'
_space_group_IT_number 1
loop_
_space_group_symop_operation_xyz
'x,y,z'
loop_
_atom_site_label
_atom_site_fract_x
_atom_site_fract_y
_atom_site_fract_z
Rb1 0.0000 0.0000 0.0000
Rb2 0.0000 0.5000 0.5000
Rb3 0.5000 0.0000 0.5000
Rb4 0.5000 0.5000 0.0000
N1 0.2500 0.2500 0.2500
N2 0.2500 0.2500 0.7500
N3 0.2500 0.7500 0.2500
N4 0.2500 0.7500 0.7500
N5 0.7500 0.2500 0.2500
N6 0.7500 0.2500 0.7500
N7 0.7500 0.7500 0.2500
N8 0.7500 0.7500 0.7500
Cl1 0.0000 0.0000 0.5000
Cl2 0.0000 0.5000 0.0000
Cl3 0.5000 0.0000 0.0000
Cl4 0.5000 0.5000 0.5000
```

=====

# 9
DFT (PBE-GGA) results for a geometry-optimized Pm2Dy3Tm structure.

Calculated values
energy above the most stable polymorph in this dataset: 0.13 eV/f.u.
energy relative to the elements: 85.4 meV/atom

CIF file:
```
data_Pm2Dy3Tm
_chemical_formula_sum 'Pm4 Dy6 Tm2'
_cell_length_a 8.8160
_cell_length_b 8.8160
_cell_length_c 8.4525
_cell_angle_alpha 92.29
_cell_angle_beta 92.29
_cell_angle_gamma 36.57
_space_group_name_H-M_alt 'P 1'
_space_group_IT_number 1
loop_
_space_group_symop_operation_xyz
'x,y,z'
loop_
_atom_site_label
_atom_site_fract_x
_atom_site_fract_y
_atom_site_fract_z
Pm1 0.0951 0.0951 0.0912
Pm2 0.3939 0.3939 0.1634
Pm3 0.6061 0.6061 0.8366
Pm4 0.9049 0.9049 0.9088
Dy1 0.2217 0.2217 0.4118
Dy2 0.2493 0.2493 0.8438
Dy3 0.4157 0.4157 0.6056
Dy4 0.5843 0.5843 0.3944
Dy5 0.7507 0.7507 0.1562
Dy6 0.7783 0.7783 0.5882
Tm1 0.0589 0.0589 0.6537
Tm2 0.9411 0.9411 0.3463
```

=====

# 10
DFT (PBE-GGA) results for a geometry-optimized Hf2Ag structure.

Calculated values
energy relative to the elements: -113.3 meV/atom

CIF file:
```
data_Hf2Ag
_chemical_formula_sum 'Hf4 Ag2'
_cell_length_a 3.2210
_cell_length_b 3.2210
_cell_length_c 12.0096
_cell_angle_alpha 90.00
_cell_angle_beta 90.00
_cell_angle_gamma 90.00
_space_group_name_H-M_alt 'P 1'
_space_group_IT_number 1
loop_
_space_group_symop_operation_xyz
'x,y,z'
loop_
_atom_site_label
_atom_site_fract_x
_atom_site_fract_y
_atom_site_fract_z
Hf1 0.0000 0.0000 0.1654
Hf2 0.0000 0.0000 0.8346
Hf3 0.5000 0.5000 0.3346
Hf4 0.5000 0.5000 0.6654
Ag1 0.0000 0.0000 0.5000
Ag2 0.5000 0.5000 0.0000
```

=====

# 11
DFT (PBE-GGA) results for a geometry-optimized GaBiP2Cl structure.

Calculated values
energy above the most stable polymorph in this dataset: 0.00 eV/f.u.
raw formation energy: 0.32 eV per atom

CIF file:
```
data_GaBiP2Cl
_chemical_formula_sum 'Ga1 Bi1 P2 Cl1'
_cell_length_a 4.8325
_cell_length_b 4.8325
_cell_length_c 4.7299
_cell_angle_alpha 90.00
_cell_angle_beta 90.00
_cell_angle_gamma 90.00
_space_group_name_H-M_alt 'P 1'
_space_group_IT_number 1
loop_
_space_group_symop_operation_xyz
'x,y,z'
loop_
_atom_site_label
_atom_site_fract_x
_atom_site_fract_y
_atom_site_fract_z
Ga1 0.0000 0.0000 0.0000
Bi1 0.5000 0.5000 0.5000
P1 0.0000 0.5000 0.0000
P2 0.5000 0.0000 0.0000
Cl1 0.0000 0.0000 0.5000
```

=====

# 12
DFT (PBE-GGA) results for a geometry-optimized Ce2YGe3Rh4 structure.

Calculated values
energy relative to the elements: -850.2 meV/atom

CIF file:
```
data_Ce2YGe3Rh4
_chemical_formula_sum 'Ce2 Y1 Ge3 Rh4'
_cell_length_a 4.1494
_cell_length_b 4.1494
_cell_length_c 11.3546
_cell_angle_alpha 90.00
_cell_angle_beta 90.00
_cell_angle_gamma 90.00
_space_group_name_H-M_alt 'P 1'
_space_group_IT_number 1
loop_
_space_group_symop_operation_xyz
'x,y,z'
loop_
_atom_site_label
_atom_site_fract_x
_atom_site_fract_y
_atom_site_fract_z
Ce1 0.0000 0.5000 0.2312
Ce2 0.5000 0.0000 0.7688
Y1 0.0000 0.0000 0.5000
Ge1 0.0000 0.5000 0.8796
Ge2 0.5000 0.0000 0.1204
Ge3 0.5000 0.5000 0.5000
Rh1 0.0000 0.0000 0.0000
Rh2 0.0000 0.5000 0.6638
Rh3 0.5000 0.0000 0.3362
Rh4 0.5000 0.5000 0.0000
```